Below is an optimized crystal structure of ZnInHRh2, with properties calculated at the PBE level.

Values from the calculation:
volume	64.2	Å³ per cell
total energy	-4.657	eV per atom
mass density	10010	kg/m3
magnetic moment	0.00	μB/f.u.
DOS(E_F)	0.3436	states/eV per atom

Geometry as CIF:
```
data_ZnInHRh2
_chemical_formula_sum 'Zn1 In1 H1 Rh2'
_symmetry_space_group_name_H-M 'P 1'
_symmetry_Int_Tables_number 1
_cell_length_a 4.1451
_cell_length_b 4.1451
_cell_length_c 3.7370
_cell_angle_alpha 90.00
_cell_angle_beta 90.00
_cell_angle_gamma 90.00
loop_
_symmetry_equiv_pos_as_xyz
'x,y,z'
loop_
_atom_site_label
_atom_site_fract_x
_atom_site_fract_y
_atom_site_fract_z
Zn1 0.0000 0.0000 0.0000
In1 0.5000 0.5000 0.0000
H1 0.0000 0.0000 0.5000
Rh1 0.0000 0.5000 0.5000
Rh2 0.5000 0.0000 0.5000
```

Below is an optimized crystal structure of ZrInHRh2, with properties calculated at the PBE level.

Values from the calculation:
volume	72.2	Å³ per cell
total energy	-6.291	eV per atom
mass density	9496	kg/m3
magnetic moment	0.00	μB/f.u.
DOS(E_F)	0.7166	states/eV per atom

Geometry as CIF:
```
data_ZrInHRh2
_chemical_formula_sum 'Zr1 In1 H1 Rh2'
_symmetry_space_group_name_H-M 'P 1'
_symmetry_Int_Tables_number 1
_cell_length_a 4.2205
_cell_length_b 4.2205
_cell_length_c 4.0528
_cell_angle_alpha 90.00
_cell_angle_beta 90.00
_cell_angle_gamma 90.00
loop_
_symmetry_equiv_pos_as_xyz
'x,y,z'
loop_
_atom_site_label
_atom_site_fract_x
_atom_site_fract_y
_atom_site_fract_z
Zr1 0.0000 0.0000 0.0000
In1 0.5000 0.5000 0.0000
H1 0.0000 0.0000 0.5000
Rh1 0.0000 0.5000 0.5000
Rh2 0.5000 0.0000 0.5000
```

Below is an optimized crystal structure of In3H4Ru2, with properties calculated at the PBE level.

Values from the calculation:
volume	115.5	Å³ per cell
total energy	-4.480	eV per atom
mass density	7918	kg/m3
magnetic moment	0.00	μB/f.u.
DOS(E_F)	0.1404	states/eV per atom

Geometry as CIF:
```
data_In3H4Ru2
_chemical_formula_sum 'In3 H4 Ru2'
_symmetry_space_group_name_H-M 'P 1'
_symmetry_Int_Tables_number 1
_cell_length_a 5.2335
_cell_length_b 5.2335
_cell_length_c 7.2431
_cell_angle_alpha 90.75
_cell_angle_beta 90.75
_cell_angle_gamma 35.60
loop_
_symmetry_equiv_pos_as_xyz
'x,y,z'
loop_
_atom_site_label
_atom_site_fract_x
_atom_site_fract_y
_atom_site_fract_z
In1 0.0000 0.0000 0.0000
In2 0.3164 0.3164 0.3365
In3 0.6836 0.6836 0.6635
H1 0.0468 0.0468 0.3736
H2 0.3009 0.3009 0.8794
H3 0.6991 0.6991 0.1206
H4 0.9532 0.9532 0.6264
Ru1 0.4120 0.4120 0.7137
Ru2 0.5880 0.5880 0.2863
```

Below is an optimized crystal structure of InHRu, with properties calculated at the PBE level.

Values from the calculation:
volume	77.4	Å³ per cell
total energy	-5.078	eV per atom
mass density	9306	kg/m3
magnetic moment	0.00	μB/f.u.
DOS(E_F)	0.4627	states/eV per atom

Geometry as CIF:
```
data_InHRu
_chemical_formula_sum 'In2 H2 Ru2'
_symmetry_space_group_name_H-M 'P 1'
_symmetry_Int_Tables_number 1
_cell_length_a 5.0810
_cell_length_b 5.0810
_cell_length_c 6.6270
_cell_angle_alpha 126.79
_cell_angle_beta 126.79
_cell_angle_gamma 35.59
loop_
_symmetry_equiv_pos_as_xyz
'x,y,z'
loop_
_atom_site_label
_atom_site_fract_x
_atom_site_fract_y
_atom_site_fract_z
In1 0.0594 0.0594 0.3103
In2 0.9406 0.9406 0.6897
H1 0.3173 0.3173 0.2706
H2 0.6827 0.6827 0.7294
Ru1 0.2879 0.2879 0.8632
Ru2 0.7121 0.7121 0.1368
```

Below is an optimized crystal structure of In2H4Ru, with properties calculated at the PBE level.

Values from the calculation:
volume	176.3	Å³ per cell
total energy	-3.981	eV per atom
E above lowest polymorph	0.000	eV per atom
mass density	6306	kg/m3
magnetic moment	0.00	μB/f.u.
DOS(E_F)	0.0771	states/eV per atom

Geometry as CIF:
```
data_In2H4Ru
_chemical_formula_sum 'In4 H8 Ru2'
_symmetry_space_group_name_H-M 'P 1'
_symmetry_Int_Tables_number 1
_cell_length_a 4.8560
_cell_length_b 5.0803
_cell_length_c 7.5206
_cell_angle_alpha 90.00
_cell_angle_beta 108.15
_cell_angle_gamma 90.00
loop_
_symmetry_equiv_pos_as_xyz
'x,y,z'
loop_
_atom_site_label
_atom_site_fract_x
_atom_site_fract_y
_atom_site_fract_z
In1 0.0014 0.2500 0.1276
In2 0.2209 0.2500 0.5442
In3 0.7791 0.7500 0.4558
In4 0.9986 0.7500 0.8724
H1 0.1653 0.2500 0.8779
H2 0.3696 0.7500 0.4918
H3 0.3838 0.5397 0.1954
H4 0.3838 0.9603 0.1954
H5 0.6162 0.0397 0.8046
H6 0.6162 0.4603 0.8046
H7 0.6304 0.2500 0.5082
H8 0.8347 0.7500 0.1221
Ru1 0.1746 0.7500 0.2625
Ru2 0.8254 0.2500 0.7375
```

Below is an optimized crystal structure of In2H4Ru, with properties calculated at the PBE level.

Values from the calculation:
volume	82.3	Å³ per cell
total energy	-3.857	eV per atom
E above lowest polymorph	0.124	eV per atom
mass density	6752	kg/m3
magnetic moment	0.00	μB/f.u.
DOS(E_F)	0.2635	states/eV per atom

Geometry as CIF:
```
data_In2H4Ru
_chemical_formula_sum 'In2 H4 Ru1'
_symmetry_space_group_name_H-M 'P 1'
_symmetry_Int_Tables_number 1
_cell_length_a 7.2346
_cell_length_b 7.2346
_cell_length_c 7.2346
_cell_angle_alpha 152.18
_cell_angle_beta 152.18
_cell_angle_gamma 39.75
loop_
_symmetry_equiv_pos_as_xyz
'x,y,z'
loop_
_atom_site_label
_atom_site_fract_x
_atom_site_fract_y
_atom_site_fract_z
In1 0.1522 0.1522 0.0000
In2 0.8478 0.8478 0.0000
H1 0.0000 0.5000 0.5000
H2 0.3743 0.3743 0.0000
H3 0.5000 0.0000 0.5000
H4 0.6257 0.6257 0.0000
Ru1 0.5000 0.5000 0.0000
```

Below is an optimized crystal structure of InSb2HRu, with properties calculated at the PBE level.

Values from the calculation:
volume	99.3	Å³ per cell
total energy	-4.517	eV per atom
mass density	7699	kg/m3
magnetic moment	0.00	μB/f.u.
DOS(E_F)	0.5948	states/eV per atom

Geometry as CIF:
```
data_InSb2HRu
_chemical_formula_sum 'In1 Sb2 H1 Ru1'
_symmetry_space_group_name_H-M 'P 1'
_symmetry_Int_Tables_number 1
_cell_length_a 5.3459
_cell_length_b 5.3459
_cell_length_c 3.4746
_cell_angle_alpha 90.00
_cell_angle_beta 90.00
_cell_angle_gamma 90.00
loop_
_symmetry_equiv_pos_as_xyz
'x,y,z'
loop_
_atom_site_label
_atom_site_fract_x
_atom_site_fract_y
_atom_site_fract_z
In1 0.0000 0.0000 0.0000
Sb1 0.0000 0.5000 0.5000
Sb2 0.5000 0.0000 0.5000
H1 0.5000 0.5000 0.0000
Ru1 0.5000 0.5000 0.5000
```

Below is an optimized crystal structure of InHRu2Se, with properties calculated at the PBE level.

Values from the calculation:
volume	84.8	Å³ per cell
total energy	-4.369	eV per atom
mass density	7772	kg/m3
magnetic moment	1.44	μB/f.u.
DOS(E_F)	1.1998	states/eV per atom

Geometry as CIF:
```
data_InHRu2Se
_chemical_formula_sum 'In1 H1 Ru2 Se1'
_symmetry_space_group_name_H-M 'P 1'
_symmetry_Int_Tables_number 1
_cell_length_a 5.0277
_cell_length_b 5.0277
_cell_length_c 3.3548
_cell_angle_alpha 90.00
_cell_angle_beta 90.00
_cell_angle_gamma 90.00
loop_
_symmetry_equiv_pos_as_xyz
'x,y,z'
loop_
_atom_site_label
_atom_site_fract_x
_atom_site_fract_y
_atom_site_fract_z
In1 0.0000 0.0000 0.0000
H1 0.0000 0.0000 0.5000
Ru1 0.0000 0.5000 0.0000
Ru2 0.5000 0.0000 0.0000
Se1 0.5000 0.5000 0.5000
```

Below is an optimized crystal structure of Ta2InHRu, with properties calculated at the PBE level.

Values from the calculation:
volume	71.9	Å³ per cell
total energy	-7.801	eV per atom
mass density	13362	kg/m3
magnetic moment	0.00	μB/f.u.
DOS(E_F)	0.6068	states/eV per atom

Geometry as CIF:
```
data_Ta2InHRu
_chemical_formula_sum 'Ta2 In1 H1 Ru1'
_symmetry_space_group_name_H-M 'P 1'
_symmetry_Int_Tables_number 1
_cell_length_a 4.1698
_cell_length_b 4.1698
_cell_length_c 4.1370
_cell_angle_alpha 90.00
_cell_angle_beta 90.00
_cell_angle_gamma 90.00
loop_
_symmetry_equiv_pos_as_xyz
'x,y,z'
loop_
_atom_site_label
_atom_site_fract_x
_atom_site_fract_y
_atom_site_fract_z
Ta1 0.0000 0.5000 0.0000
Ta2 0.5000 0.0000 0.0000
In1 0.0000 0.0000 0.5000
H1 0.5000 0.5000 0.0000
Ru1 0.5000 0.5000 0.5000
```

Below is an optimized crystal structure of TbInH8Ru2, with properties calculated at the PBE level.

Values from the calculation:
volume	104.6	Å³ per cell
total energy	-4.572	eV per atom
mass density	7686	kg/m3
magnetic moment	0.00	μB/f.u.
DOS(E_F)	0.0852	states/eV per atom

Geometry as CIF:
```
data_TbInH8Ru2
_chemical_formula_sum 'Tb1 In1 H8 Ru2'
_symmetry_space_group_name_H-M 'P 1'
_symmetry_Int_Tables_number 1
_cell_length_a 4.6891
_cell_length_b 4.6891
_cell_length_c 6.2367
_cell_angle_alpha 109.52
_cell_angle_beta 109.52
_cell_angle_gamma 55.42
loop_
_symmetry_equiv_pos_as_xyz
'x,y,z'
loop_
_atom_site_label
_atom_site_fract_x
_atom_site_fract_y
_atom_site_fract_z
Tb1 0.0000 0.0000 0.0000
In1 0.5000 0.5000 0.5000
H1 0.0594 0.5662 0.1624
H2 0.2026 0.2026 0.3760
H3 0.4213 0.4213 0.8467
H4 0.4338 0.9406 0.8376
H5 0.5662 0.0594 0.1624
H6 0.5787 0.5787 0.1533
H7 0.7974 0.7974 0.6240
H8 0.9406 0.4338 0.8376
Ru1 0.2151 0.2151 0.6522
Ru2 0.7849 0.7849 0.3478
```

Below is an optimized crystal structure of Ti2InHRu, with properties calculated at the PBE level.

Values from the calculation:
volume	68.4	Å³ per cell
total energy	-6.528	eV per atom
mass density	7593	kg/m3
magnetic moment	0.00	μB/f.u.
DOS(E_F)	0.9989	states/eV per atom

Geometry as CIF:
```
data_Ti2InHRu
_chemical_formula_sum 'Ti2 In1 H1 Ru1'
_symmetry_space_group_name_H-M 'P 1'
_symmetry_Int_Tables_number 1
_cell_length_a 4.1808
_cell_length_b 4.1808
_cell_length_c 3.9117
_cell_angle_alpha 90.00
_cell_angle_beta 90.00
_cell_angle_gamma 90.00
loop_
_symmetry_equiv_pos_as_xyz
'x,y,z'
loop_
_atom_site_label
_atom_site_fract_x
_atom_site_fract_y
_atom_site_fract_z
Ti1 0.0000 0.5000 0.0000
Ti2 0.5000 0.0000 0.0000
In1 0.0000 0.0000 0.5000
H1 0.5000 0.5000 0.0000
Ru1 0.5000 0.5000 0.5000
```

Below is an optimized crystal structure of TiInHRu2, with properties calculated at the PBE level.

Values from the calculation:
volume	65.0	Å³ per cell
total energy	-6.729	eV per atom
mass density	9340	kg/m3
magnetic moment	0.00	μB/f.u.
DOS(E_F)	0.4220	states/eV per atom

Geometry as CIF:
```
data_TiInHRu2
_chemical_formula_sum 'Ti1 In1 H1 Ru2'
_symmetry_space_group_name_H-M 'P 1'
_symmetry_Int_Tables_number 1
_cell_length_a 4.1655
_cell_length_b 4.1655
_cell_length_c 3.7483
_cell_angle_alpha 90.00
_cell_angle_beta 90.00
_cell_angle_gamma 90.00
loop_
_symmetry_equiv_pos_as_xyz
'x,y,z'
loop_
_atom_site_label
_atom_site_fract_x
_atom_site_fract_y
_atom_site_fract_z
Ti1 0.0000 0.0000 0.0000
In1 0.5000 0.5000 0.0000
H1 0.0000 0.0000 0.5000
Ru1 0.0000 0.5000 0.5000
Ru2 0.5000 0.0000 0.5000
```